[1]
A relaxed Ac3Mg2Sn crystal, computed with PBE-GGA.

Results
energy relative to the elements	-0.277	eV/atom
VASP energy	-21.2	eV/f.u.
DOS at the Fermi energy	6.06	states/eV/f.u.
symmetry	Cmmm (65)

```
Ac3Mg2Sn
1.0
2.8038 -8.4461 0.0000
2.8038 8.4461 0.0000
0.0000 0.0000 4.3871
Ac Mg Sn
3 2 1
direct
0.0000 0.0000 0.0000
0.3387 0.6613 0.0000
0.6613 0.3387 0.0000
0.1748 0.8252 0.5000
0.8252 0.1748 0.5000
0.5000 0.5000 0.5000
```

***

[2]
A relaxed Nd4HgPS2 crystal, computed with PBE-GGA.

Results
VASP energy	-44.8	eV/f.u.
raw formation energy	-1.4676	eV/atom
DOS at the Fermi energy	5.49	states/eV/f.u.
symmetry	P2/m (10)

```
Nd4HgPS2
1.0
7.2760 0.0000 0.0000
0.0000 4.1506 0.0000
-2.3735 0.0000 6.8828
Nd Hg P S
4 1 1 2
direct
0.2299 0.0000 0.2316
0.2370 0.5000 0.7543
0.7630 0.5000 0.2457
0.7701 0.0000 0.7684
0.5000 0.5000 0.5000
0.0000 0.0000 0.5000
0.0000 0.5000 0.0000
0.5000 0.0000 0.0000
```

***

[3]
A relaxed MnHgTe2 crystal, computed with PBE-GGA.

Results
VASP energy	-14.5	eV/f.u.
raw formation energy	0.3186	eV/atom
DOS at the Fermi energy	2.33	states/eV/f.u.
symmetry	R-3m (166)

```
MnHgTe2
1.0
1.6612 0.9591 12.3710
-1.6612 0.9591 12.3710
0.0000 -1.9182 12.3710
Mn Hg Te
1 1 2
direct
0.0000 0.0000 0.0000
0.5000 0.5000 0.5000
0.0706 0.0706 0.0706
0.9294 0.9294 0.9294
```

***

[4]
A relaxed Ca2Zn2InRh5 crystal, computed with PBE-GGA.

Results
energy relative to the elements	-0.375	eV/atom
VASP energy	-49.8	eV/f.u.
DOS at the Fermi energy	9.39	states/eV/f.u.
symmetry	P4/mbm (127)

```
Ca2Zn2InRh5
1.0
9.6070 0.0000 0.0000
0.0000 9.6070 0.0000
0.0000 0.0000 3.7726
Ca Zn In Rh
4 4 2 10
direct
0.1755 0.3245 0.0000
0.3245 0.8245 0.0000
0.6755 0.1755 0.0000
0.8245 0.6755 0.0000
0.1228 0.6228 0.0000
0.3772 0.1228 0.0000
0.6228 0.8772 0.0000
0.8772 0.3772 0.0000
0.0000 0.0000 0.0000
0.5000 0.5000 0.0000
0.0000 0.5000 0.5000
0.0629 0.7933 0.5000
0.2067 0.0629 0.5000
0.2933 0.5629 0.5000
0.4371 0.2933 0.5000
0.5000 0.0000 0.5000
0.5629 0.7067 0.5000
0.7067 0.4371 0.5000
0.7933 0.9371 0.5000
0.9371 0.2067 0.5000
```

***

[5]
A relaxed Pu2ThMn crystal, computed with PBE-GGA.

Results
energy relative to the elements	0.449	eV/atom
VASP energy	-43.5	eV/f.u.
DOS at the Fermi energy	7.20	states/eV/f.u.
symmetry	R-3m (166)

```
Pu2ThMn
1.0
2.1474 1.2398 5.3182
-2.1474 1.2398 5.3182
0.0000 -2.4796 5.3182
Pu Th Mn
2 1 1
direct
0.1800 0.1800 0.1800
0.8200 0.8200 0.8200
0.0000 0.0000 0.0000
0.5000 0.5000 0.5000
```

***

[6]
A relaxed Y2Ti2Os crystal, computed with PBE-GGA.

Results
energy relative to the elements	-0.061	eV/atom
VASP energy	-40.3	eV/f.u.
DOS at the Fermi energy	2.34	states/eV/f.u.
symmetry	P4/mbm (127)

```
Y2Ti2Os
1.0
6.5160 0.0000 0.0000
0.0000 6.5160 0.0000
0.0000 0.0000 5.1273
Y Ti Os
4 4 2
direct
0.1741 0.3259 0.0000
0.3259 0.8259 0.0000
0.6741 0.1741 0.0000
0.8259 0.6741 0.0000
0.1477 0.6477 0.5000
0.3523 0.1477 0.5000
0.6477 0.8523 0.5000
0.8523 0.3523 0.5000
0.0000 0.0000 0.5000
0.5000 0.5000 0.5000
```

***

[7]
A relaxed AgTeAu crystal, computed with PBE-GGA.

Results
VASP energy	-8.8	eV/f.u.
raw formation energy	0.1498	eV/atom
DOS at the Fermi energy	0.43	states/eV/f.u.
symmetry	P3m1 (156)

```
AgTeAu
1.0
4.9769 0.0000 0.0000
-2.4884 4.3101 0.0000
0.0000 0.0000 3.1046
Ag Te Au
1 1 1
direct
0.0000 0.0000 0.0000
0.3333 0.6667 0.4964
0.6667 0.3333 0.4960
```

***

[8]
A relaxed Li6Zn12Cd crystal, computed with PBE-GGA.

Results
energy relative to the elements	-0.108	eV/atom
VASP energy	-29.7	eV/f.u.
DOS at the Fermi energy	4.60	states/eV/f.u.
symmetry	R-3 (148)

```
Li6Zn12Cd
1.0
4.7409 2.7372 3.7469
-4.7409 2.7372 3.7469
0.0000 -5.4743 3.7469
Li Zn Cd
6 12 1
direct
0.2250 0.7736 0.6151
0.2264 0.3849 0.7750
0.3849 0.7750 0.2264
0.6151 0.2250 0.7736
0.7736 0.6151 0.2250
0.7750 0.2264 0.3849
0.0232 0.9386 0.2977
0.0614 0.7023 0.9768
0.1174 0.4610 0.3385
0.2977 0.0232 0.9386
0.3385 0.1174 0.4610
0.4610 0.3385 0.1174
0.5390 0.6615 0.8826
0.6615 0.8826 0.5390
0.7023 0.9768 0.0614
0.8826 0.5390 0.6615
0.9386 0.2977 0.0232
0.9768 0.0614 0.7023
0.5000 0.5000 0.5000
```

***

[9]
A relaxed Cu2SbHPd crystal, computed with PBE-GGA.

Results
VASP energy	-20.8	eV/f.u.
DOS at the Fermi energy	1.32	states/eV/f.u.
symmetry	P4/mmm (123)

```
Cu2SbHPd
1.0
4.0788 0.0000 0.0000
0.0000 4.0788 0.0000
0.0000 0.0000 3.9380
Cu Sb H Pd
2 1 1 1
direct
0.0000 0.5000 0.0000
0.5000 0.0000 0.0000
0.0000 0.0000 0.5000
0.5000 0.5000 0.0000
0.5000 0.5000 0.5000
```

***

[10]
A relaxed Er2MnTl3Se6 crystal, computed with PBE-GGA.

Results
VASP energy	-58.6	eV/f.u.
raw formation energy	-1.0224	eV/atom
DOS at the Fermi energy	4.25	states/eV/f.u.
symmetry	C2/m (12)

```
Er2MnTl3Se6
1.0
3.5316 -6.0589 0.0000
3.5316 6.0589 0.0000
-2.3839 0.0000 7.6634
Er Mn Tl Se
2 1 3 6
direct
0.1651 0.8349 0.0000
0.8349 0.1651 0.0000
0.5000 0.5000 0.0000
0.0000 0.0000 0.5000
0.3247 0.6753 0.5000
0.6753 0.3247 0.5000
0.1247 0.4362 0.8064
0.2496 0.2496 0.2091
0.4362 0.1247 0.8064
0.5638 0.8753 0.1936
0.7504 0.7504 0.7909
0.8753 0.5638 0.1936
```

***

[11]
A relaxed AgAsPbSe2 crystal, computed with PBE-GGA.

Results
VASP energy	-16.3	eV/f.u.
raw formation energy	0.3772	eV/atom
DOS at the Fermi energy	4.35	states/eV/f.u.
symmetry	P4/mmm (123)

```
AgAsPbSe2
1.0
5.2275 0.0000 0.0000
0.0000 5.2275 0.0000
0.0000 0.0000 4.8873
Ag As Pb Se
1 1 1 2
direct
0.0000 0.0000 0.0000
0.0000 0.0000 0.5000
0.5000 0.5000 0.5000
0.0000 0.5000 0.0000
0.5000 0.0000 0.0000
```

***

[12]
A relaxed NaYAsBr2 crystal, computed with PBE-GGA.

Results
VASP energy	-20.7	eV/f.u.
raw formation energy	-0.9745	eV/atom
DOS at the Fermi energy	3.91	states/eV/f.u.
symmetry	P4/mmm (123)

```
NaYAsBr2
1.0
5.6249 0.0000 0.0000
0.0000 5.6249 0.0000
0.0000 0.0000 5.6178
Na Y As Br
1 1 1 2
direct
0.0000 0.0000 0.0000
0.5000 0.5000 0.5000
0.5000 0.5000 0.0000
0.0000 0.5000 0.5000
0.5000 0.0000 0.5000
```